! Mn2Bi2Au PBE relaxed; values from VASP
&SYSTEM
  ibrav = 0, nat = 5, ntyp = 3
/
ATOMIC_SPECIES
Mn 54.94 Mn.upf
Bi 208.98 Bi.upf
Au 196.97 Au.upf
CELL_PARAMETERS angstrom
-1.6731 1.6731 9.1165
1.6731 -1.6731 9.1165
1.6731 1.6731 -9.1165
ATOMIC_POSITIONS angstrom
Mn 1.6731 0.0000 4.5582
Mn 0.0000 1.6731 4.5582
Bi 0.0000 0.0000 2.2468
Bi 0.0000 0.0000 15.9861
Au 0.0000 0.0000 9.1165
! **SG**: I4/mmm
! **DFT formation energy**: 0.466 eV per atom
! **Calculated volume**: 102.1 Å³/f.u.
! **Crystal system**: tetragonal

=====

! Mn2BiAu PBE relaxed; values from VASP
&SYSTEM
  ibrav = 0, nat = 8, ntyp = 3
/
ATOMIC_SPECIES
Mn 54.94 Mn.upf
Bi 208.98 Bi.upf
Au 196.97 Au.upf
CELL_PARAMETERS angstrom
-2.1467 2.1467 9.3977
2.1467 -2.1467 9.3977
2.1467 2.1467 -9.3977
ATOMIC_POSITIONS angstrom
Mn 3.2200 0.9943 -2.3494
Mn 0.9943 1.0733 2.3494
Mn -1.0733 1.1524 7.0483
Mn 1.1524 1.0733 11.7471
Bi 2.1467 0.0000 4.6989
Bi 0.0000 0.0000 9.3977
Au 0.0000 0.0000 0.0000
Au 0.0000 2.1467 4.6989
! **SG**: I-42d
! **DFT formation energy**: 0.507 eV per atom
! **Calculated volume**: 86.6 Å³/f.u.
! **Crystal system**: tetragonal

=====

! MnBiAu PBE relaxed; values from VASP
&SYSTEM
  ibrav = 0, nat = 6, ntyp = 3
/
ATOMIC_SPECIES
Mn 54.94 Mn.upf
Bi 208.98 Bi.upf
Au 196.97 Au.upf
CELL_PARAMETERS angstrom
-1.6899 1.6899 11.7760
1.6899 -1.6899 11.7760
1.6899 1.6899 -11.7760
ATOMIC_POSITIONS angstrom
Mn 0.0000 0.0000 5.1274
Mn 0.0000 0.0000 18.4246
Bi 0.0000 0.0000 1.7184
Bi 0.0000 0.0000 21.8336
Au 0.0000 0.0000 7.9661
Au 0.0000 0.0000 15.5859
! **SG**: I4/mmm
! **DFT formation energy**: 0.105 eV per atom
! **Calculated volume**: 67.3 Å³/f.u.
! **Crystal system**: tetragonal

=====

! Mn2BiAu2 PBE relaxed; values from VASP
&SYSTEM
  ibrav = 0, nat = 10, ntyp = 3
/
ATOMIC_SPECIES
Mn 54.94 Mn.upf
Bi 208.98 Bi.upf
Au 196.97 Au.upf
CELL_PARAMETERS angstrom
7.7267 0.0000 0.0000
0.0000 7.7267 0.0000
0.0000 0.0000 3.2629
ATOMIC_POSITIONS angstrom
Mn 1.1315 2.7319 0.0000
Mn 2.7319 6.5952 0.0000
Mn 4.9948 1.1315 0.0000
Mn 6.5952 4.9948 0.0000
Bi 0.0000 0.0000 0.0000
Bi 3.8633 3.8633 0.0000
Au 1.1074 4.9707 1.6315
Au 2.7560 1.1074 1.6315
Au 4.9707 6.6193 1.6315
Au 6.6193 2.7560 1.6315
! **SG**: P4/mbm
! **DFT formation energy**: 0.121 eV per atom
! **Calculated volume**: 97.4 Å³/f.u.
! **Crystal system**: tetragonal

=====

Number 1: E_tot -5.410 eV per atom. Number 2: E_tot -5.868 eV per atom. Number 3: E_tot -5.338 eV per atom. Number 4: E_tot -5.634 eV per atom.